1.
BeNiHg after structural relaxation, computed with PBE.

Cell: 5.0475 5.0475 5.0475 Å, 146.00 146.00 48.84°
Fractional positions:
Be1 0.0000 0.0000 0.0000
Ni1 0.4094 0.4094 0.0000
Hg1 0.7033 0.7033 0.0000

Values from the calculation:
Energy of formation   0.0864 eV/atom
V   40 Å³ per cell



2.
SrFe3Sb after structural relaxation, computed with PBE.

Cell: 4.7532 4.7532 4.7532 Å, 90.00 90.00 90.00°
Fractional positions:
Sr1 0.0000 0.0000 0.0000
Fe1 0.0000 0.5000 0.5000
Fe2 0.5000 0.0000 0.5000
Fe3 0.5000 0.5000 0.0000
Sb1 0.5000 0.5000 0.5000

Values from the calculation:
Formation energy without anion corrections   5.72 eV/f.u.
V   107 Å³ per cell



3.
AlAg2Os after structural relaxation, computed with PBE.

Cell: 5.2137 5.2137 5.2137 Å, 137.24 137.24 62.06°
Fractional positions:
Al1 0.0000 0.0000 0.0000
Ag1 0.2500 0.7500 0.5000
Ag2 0.7500 0.2500 0.5000
Os1 0.5000 0.5000 0.0000

Values from the calculation:
Energy of formation   0.4015 eV/atom
V   65 Å³ per cell



4.
LiMgTc after structural relaxation, computed with PBE.

Cell: 2.7794 2.7794 7.2699 Å, 90.00 90.00 120.00°
Fractional positions:
Li1 0.0000 0.0000 0.0000
Mg1 0.6667 0.3333 0.3575
Tc1 0.3333 0.6667 0.6847

Values from the calculation:
Energy of formation   0.2493 eV/atom
V   49 Å³ per cell



5.
Sm2ThAs after structural relaxation, computed with PBE.

Cell: 9.6128 9.6128 9.6128 Å, 23.36 23.36 23.36°
Fractional positions:
Sm1 0.2308 0.2308 0.2308
Sm2 0.7692 0.7692 0.7692
Th1 0.0000 0.0000 0.0000
As1 0.5000 0.5000 0.5000

Values from the calculation:
Energy of formation   -0.5635 eV/atom
V   123 Å³ per cell



6.
TmNpNiS4 after structural relaxation, computed with PBE.

Cell: 6.4055 5.6326 7.5772 Å, 90.00 106.27 90.00°
Fractional positions:
Tm1 0.2340 0.2500 0.4336
Tm2 0.7660 0.7500 0.5664
Np1 0.2552 0.2500 0.9401
Np2 0.7448 0.7500 0.0599
Ni1 0.2585 0.7500 0.1757
Ni2 0.7415 0.2500 0.8243
S1 0.0682 0.7500 0.3851
S2 0.0709 0.7500 0.8890
S3 0.4850 0.5106 0.7408
S4 0.4850 0.9894 0.7408
S5 0.5150 0.0106 0.2592
S6 0.5150 0.4894 0.2592
S7 0.9291 0.2500 0.1110
S8 0.9318 0.2500 0.6149

Values from the calculation:
Formation energy without anion corrections   -8.97 eV/f.u.
V   262 Å³ per cell



We obtain mass density values of 11.1 5.8 11.1 4.4 8.2 7.5 g/cm3 for the records listed above, in that order.
We obtain size of the total moment values of 0.00 0.90 0.61 0.00 0.00 3.20 μB per formula unit for the records listed above, in that order.